# AcMoPb2O6

A geometry-optimized AcMoPb2O6 structure (PBE+U, the Alexandria database). Values from VASP.

```
&SYSTEM
  ibrav = 0, nat = 20, ntyp = 4
/
ATOMIC_SPECIES
Ac 227.00 Ac.upf
Mo 95.94 Mo.upf
Pb 207.20 Pb.upf
O 16.00 O.upf
CELL_PARAMETERS angstrom
5.745 0.000 0.000
0.000 6.528 0.000
-5.559 0.000 8.803
ATOMIC_POSITIONS crystal
Ac 0.000 0.000 0.000
Ac 0.000 0.500 0.500
Mo 0.500 0.000 0.500
Mo 0.500 0.500 0.000
Pb 0.223 0.049 0.718
Pb 0.223 0.451 0.218
Pb 0.777 0.549 0.782
Pb 0.777 0.951 0.282
O 0.170 0.158 0.482
O 0.170 0.342 0.982
O 0.284 0.747 0.948
O 0.284 0.753 0.448
O 0.365 0.051 0.273
O 0.365 0.449 0.773
O 0.635 0.551 0.227
O 0.635 0.949 0.727
O 0.716 0.247 0.552
O 0.716 0.253 0.052
O 0.830 0.658 0.018
O 0.830 0.842 0.518
```

## Properties
Electronic total energy ... -6.706 eV per atom
Size of the total moment ... 0.10 μB per atom
Volume ... 16.51 Å³/atom

# AcMoPb2O8

A geometry-optimized AcMoPb2O8 structure (PBE+U, the Alexandria database). Values from VASP.

```
&SYSTEM
  ibrav = 0, nat = 12, ntyp = 4
/
ATOMIC_SPECIES
Ac 227.00 Ac.upf
Mo 95.94 Mo.upf
Pb 207.20 Pb.upf
O 16.00 O.upf
CELL_PARAMETERS angstrom
5.162 0.000 0.000
0.000 7.057 0.000
-0.096 0.000 5.162
ATOMIC_POSITIONS crystal
Ac 0.000 0.000 0.000
Mo 0.000 0.500 0.000
Pb 0.500 0.261 0.500
Pb 0.500 0.739 0.500
O 0.183 0.300 0.182
O 0.183 0.700 0.182
O 0.277 0.500 0.723
O 0.322 0.000 0.676
O 0.678 0.000 0.324
O 0.723 0.500 0.277
O 0.817 0.300 0.818
O 0.817 0.700 0.818
```

## Properties
Electronic total energy ... -6.450 eV per atom
Size of the total moment ... 0.00 μB per atom
Volume ... 15.67 Å³/atom

# AcMo2PbO8

A geometry-optimized AcMo2PbO8 structure (PBE+U, the Alexandria database). Values from VASP.

```
&SYSTEM
  ibrav = 0, nat = 12, ntyp = 4
/
ATOMIC_SPECIES
Ac 227.00 Ac.upf
Mo 95.94 Mo.upf
Pb 207.20 Pb.upf
O 16.00 O.upf
CELL_PARAMETERS angstrom
2.817 1.626 7.699
-2.817 1.626 7.699
0.000 -3.252 7.699
ATOMIC_POSITIONS crystal
Ac 0.000 0.000 0.000
Mo 0.242 0.242 0.242
Mo 0.758 0.758 0.758
Pb 0.500 0.500 0.500
O 0.048 0.435 0.714
O 0.165 0.165 0.165
O 0.286 0.565 0.952
O 0.435 0.714 0.048
O 0.565 0.952 0.286
O 0.714 0.048 0.435
O 0.835 0.835 0.835
O 0.952 0.286 0.565
```

## Properties
Electronic total energy ... -6.934 eV per atom
Size of the total moment ... 0.09 μB per atom
Volume ... 17.63 Å³/atom

# Ac2MoPdO6

A geometry-optimized Ac2MoPdO6 structure (PBE+U, the Alexandria database). Values from VASP.

```
&SYSTEM
  ibrav = 0, nat = 10, ntyp = 4
/
ATOMIC_SPECIES
Ac 227.00 Ac.upf
Mo 95.94 Mo.upf
Pd 106.42 Pd.upf
O 16.00 O.upf
CELL_PARAMETERS angstrom
5.534 0.000 0.000
0.000 5.534 0.000
0.000 0.000 5.293
ATOMIC_POSITIONS crystal
Ac 0.000 0.500 0.000
Ac 0.500 0.000 0.000
Mo 0.000 0.000 0.576
Pd 0.500 0.500 0.442
O 0.000 0.000 0.214
O 0.227 0.227 0.701
O 0.227 0.773 0.701
O 0.500 0.500 0.054
O 0.773 0.227 0.701
O 0.773 0.773 0.701
```

## Properties
Electronic total energy ... -7.092 eV per atom
Size of the total moment ... 0.00 μB per atom
Volume ... 16.21 Å³/atom

# AcMo2PdO8

A geometry-optimized AcMo2PdO8 structure (PBE+U, the Alexandria database). Values from VASP.

```
&SYSTEM
  ibrav = 0, nat = 12, ntyp = 4
/
ATOMIC_SPECIES
Ac 227.00 Ac.upf
Mo 95.94 Mo.upf
Pd 106.42 Pd.upf
O 16.00 O.upf
CELL_PARAMETERS angstrom
-3.805 3.805 3.542
3.805 -3.805 3.542
3.805 3.805 -3.542
ATOMIC_POSITIONS crystal
Ac 0.000 0.000 0.000
Mo 0.250 0.750 0.500
Mo 0.500 0.500 0.000
Pd 0.750 0.250 0.500
O 0.104 0.413 0.308
O 0.104 0.796 0.692
O 0.154 0.339 0.815
O 0.204 0.896 0.308
O 0.524 0.339 0.185
O 0.587 0.896 0.692
O 0.661 0.476 0.815
O 0.661 0.846 0.185
```

## Properties
Electronic total energy ... -7.001 eV per atom
Size of the total moment ... 0.08 μB per atom
Volume ... 17.09 Å³/atom

# AcPmMo2O8

A geometry-optimized AcPmMo2O8 structure (PBE+U, the Alexandria database). Values from VASP.

```
&SYSTEM
  ibrav = 0, nat = 12, ntyp = 4
/
ATOMIC_SPECIES
Ac 227.00 Ac.upf
Pm 145.00 Pm.upf
Mo 95.94 Mo.upf
O 16.00 O.upf
CELL_PARAMETERS angstrom
-2.729 2.729 5.886
2.729 -2.729 5.886
2.729 2.729 -5.886
ATOMIC_POSITIONS crystal
Ac 0.000 0.000 0.000
Pm 0.250 0.750 0.500
Mo 0.500 0.500 0.000
Mo 0.750 0.250 0.500
O 0.013 0.077 0.421
O 0.264 0.649 0.082
O 0.351 0.433 0.615
O 0.408 0.987 0.064
O 0.567 0.182 0.918
O 0.656 0.592 0.579
O 0.818 0.736 0.385
O 0.923 0.344 0.936
```

## Properties
Electronic total energy ... -7.644 eV per atom
Size of the total moment ... 0.17 μB per atom
Volume ... 14.61 Å³/atom

- Which value of volume does entry 3 give?
  17.63 Å³/atom